La4TeOsCl2 | PBE | relaxed

a = 4.2583 Å, b = 7.4418 Å, c = 7.9933 Å
α = 71.86°, β = 90.00°, γ = 90.00°
Closest atoms and distances in Å follow each position.
Atoms (fractional coordinates):
La: 0.0000 0.7376 0.7130  1 Os 2.81, 2 Cl 3.03
La: 0.0000 0.2624 0.2870  1 Os 2.81, 2 Cl 3.03
La: 0.5000 0.7219 0.2887  2 Os 2.89, 1 Cl 3.05, 1 Te 3.23
La: 0.5000 0.2781 0.7113  2 Os 2.89, 1 Cl 3.05, 1 Te 3.23
Te: 0.5000 0.5000 0.0000  6 La 3.22-3.23
Os: 0.0000 0.5000 0.5000  6 La 2.81-2.89
Cl: 0.0000 0.0000 0.0000  6 La 3.34-3.44
Cl: 0.5000 0.0000 0.5000  6 La 3.03-3.05

ΔE_f (raw)	-1.247	eV per atom
space group	P2/m